(1)
Density functional theory data (PBE) for an optimized crystal structure of BaSi4Au.

Computed properties:
- Density of states at the Fermi level: 3.4 states/eV per cell
- Formation energy without anion corrections: 1.46 eV/f.u.
- Final energy: -4.24 eV per atom

Cell and atoms, written as POSCAR:
```
BaSi4Au
1.0
0.000 3.952 3.952
3.952 0.000 3.952
3.952 3.952 0.000
Ba Si Au
1 4 1
Direct
0.000 0.000 0.000
0.149 0.617 0.617
0.617 0.149 0.617
0.617 0.617 0.149
0.617 0.617 0.617
0.250 0.250 0.250
```

=====

(2)
Density functional theory data (PBE) for an optimized crystal structure of PmSmCu.

Computed properties:
- Offset from the most stable computed form: 0.0 meV/atom
- Density of states at the Fermi level: 12.1 states/eV per cell
- Final energy: -4.63 eV per atom
- Formation energy from the elements: -0.113 eV per atom

Cell and atoms, written as POSCAR:
```
PmSmCu
1.0
7.012 0.000 0.000
0.000 5.015 0.000
0.000 0.000 8.970
Pm Sm Cu
4 4 4
Direct
0.143 0.250 0.089
0.357 0.750 0.589
0.643 0.250 0.411
0.857 0.750 0.911
0.009 0.250 0.673
0.491 0.750 0.173
0.509 0.250 0.827
0.991 0.750 0.327
0.236 0.250 0.403
0.264 0.750 0.903
0.736 0.250 0.097
0.764 0.750 0.597
```

=====

(3)
Density functional theory data (PBE) for an optimized crystal structure of Nd4CdGa.

Computed properties:
- Offset from the most stable computed form: 0.0 meV/atom
- Density of states at the Fermi level: 30.1 states/eV per cell
- Final energy: -4.10 eV per atom
- Formation energy from the elements: -0.264 eV per atom

Cell and atoms, written as POSCAR:
```
Nd4CdGa
1.0
0.000 7.153 7.153
7.153 0.000 7.153
7.153 7.153 0.000
Nd Cd Ga
16 4 4
Direct
0.059 0.059 0.441
0.059 0.441 0.059
0.059 0.441 0.441
0.170 0.610 0.610
0.184 0.184 0.816
0.184 0.816 0.184
0.184 0.816 0.816
0.441 0.059 0.059
0.441 0.059 0.441
0.441 0.441 0.059
0.610 0.170 0.610
0.610 0.610 0.170
0.610 0.610 0.610
0.816 0.184 0.184
0.816 0.184 0.816
0.816 0.816 0.184
0.508 0.831 0.831
0.831 0.508 0.831
0.831 0.831 0.508
0.831 0.831 0.831
0.395 0.395 0.395
0.395 0.395 0.815
0.395 0.815 0.395
0.815 0.395 0.395
```

=====

(4)
Density functional theory data (PBE) for an optimized crystal structure of GaCo.

Computed properties:
- Density of states at the Fermi level: 14.2 states/eV per cell
- Final energy: -4.26 eV per atom
- Formation energy from the elements: 0.811 eV per atom

Cell and atoms, written as POSCAR:
```
GaCo
1.0
5.320 0.000 0.000
0.000 5.320 0.000
0.000 0.000 5.320
Ga Co
4 4
Direct
0.000 0.000 0.000
0.000 0.500 0.500
0.500 0.000 0.500
0.500 0.500 0.000
0.250 0.250 0.250
0.250 0.750 0.750
0.750 0.250 0.750
0.750 0.750 0.250
```

=====

What is the density of states at the Fermi level in the second record?
12.1 states/eV per cell